1.
MgMn2In: optimized geometry, PBE-GGA.

Output
Crystal system = cubic
Energy of formation = 0.32 eV/atom
Total magnetization = 7.265 μB/f.u.

a b c (Å): 4.658 4.658 4.658
angles (deg): 60.00 60.00 60.00
Site moments in Bohr magnetons follow the coordinates.
Element x y z (fractional)
In (0.500, 0.500, 0.500)  -0.09
Mn (0.750, 0.750, 0.750)  3.47
Mn (0.000, 0.000, 0.000)  3.58
Mg (0.250, 0.250, 0.250)  -0.03


2.
MgMnIn: optimized geometry, PBE-GGA.

Output
Crystal system = tetragonal
Energy of formation = 0.15 eV/atom
Total magnetization = 3.112 μB/f.u.

a b c (Å): 6.316 6.316 3.100
angles (deg): 75.79 75.80 28.41
Site moments in Bohr magnetons follow the coordinates.
Element x y z (fractional)
Mg (0.319, 0.319, 0.681)  -0.04
Mn (0.667, 0.667, 0.333)  3.19
In (0.014, 0.014, 0.986)  -0.06


3.
MgMnIn: optimized geometry, PBE-GGA.

Output
Crystal system = cubic
Energy of formation = 0.30 eV/atom
Total magnetization = 3.393 μB/f.u.

a b c (Å): 4.561 4.561 4.561
angles (deg): 60.00 60.00 60.00
Site moments in Bohr magnetons follow the coordinates.
Element x y z (fractional)
Mg (0.500, 0.500, 0.500)  -0.03
In (0.000, 0.000, 0.000)  -0.14
Mn (0.750, 0.750, 0.750)  3.48


4.
Mg2MnIn: optimized geometry, PBE-GGA.

Output
Crystal system = monoclinic
Energy of formation = 0.14 eV/atom
Total magnetization = 3.398 μB/f.u.

a b c (Å): 5.279 5.279 5.155
angles (deg): 77.22 77.22 35.32
Site moments in Bohr magnetons follow the coordinates.
Element x y z (fractional)
In (0.760, 0.760, 0.736)  -0.06
Mg (0.239, 0.239, 0.263)  -0.03
Mg (0.002, 0.002, 0.003)  -0.03
Mn (0.498, 0.498, 0.498)  3.54


5.
MgMn2In: optimized geometry, PBE-GGA.

Output
Crystal system = tetragonal
Energy of formation = 0.19 eV/atom
Total magnetization = 6.143 μB/f.u.

a b c (Å): 4.869 4.869 4.869
angles (deg): 129.48 129.48 74.25
Site moments in Bohr magnetons follow the coordinates.
Element x y z (fractional)
Mn (0.500, 0.500, 0.000)  3.09
Mn (0.000, 0.000, 0.000)  3.09
Mg (0.750, 0.250, 0.500)  -0.05
In (0.250, 0.750, 0.500)  -0.14


6.
Mg2MnIn: optimized geometry, PBE-GGA.

Output
Crystal system = trigonal
Energy of formation = 0.19 eV/atom
Total magnetization = 3.847 μB/f.u.

a b c (Å): 9.874 9.874 9.874
angles (deg): 18.47 18.47 18.47
Site moments in Bohr magnetons follow the coordinates.
Element x y z (fractional)
Mg (0.002, 0.002, 0.002)  0.01
Mg (0.243, 0.243, 0.243)  -0.02
In (0.755, 0.755, 0.755)  0.00
Mn (0.500, 0.500, 0.500)  3.69


7.
MgMn2In: optimized geometry, PBE-GGA.

Output
Crystal system = trigonal
Energy of formation = 0.37 eV/atom
Total magnetization = 7.132 μB/f.u.

a b c (Å): 9.410 9.410 9.410
angles (deg): 18.51 18.51 18.51
Site moments in Bohr magnetons follow the coordinates.
Element x y z (fractional)
Mn (0.499, 0.499, 0.499)  3.53
Mn (0.001, 0.001, 0.001)  3.53
In (0.250, 0.250, 0.250)  -0.09
Mg (0.750, 0.750, 0.750)  -0.03


8.
MgMn4In: optimized geometry, PBE-GGA.

Output
Crystal system = cubic
Energy of formation = 0.26 eV/atom
Total magnetization = 5.072 μB/f.u.

a b c (Å): 4.912 4.912 4.912
angles (deg): 60.00 60.00 60.00
Site moments in Bohr magnetons follow the coordinates.
Element x y z (fractional)
In (0.750, 0.750, 0.750)  -0.08
Mg (0.000, 0.000, 0.000)  -0.03
Mn (0.374, 0.374, 0.877)  1.27
Mn (0.374, 0.877, 0.374)  1.27
Mn (0.374, 0.374, 0.374)  1.27
Mn (0.877, 0.374, 0.374)  1.27


9.
Mg2MnIn: optimized geometry, PBE-GGA.

Output
Crystal system = tetragonal
Energy of formation = 0.12 eV/atom
Total magnetization = 3.457 μB/f.u.

a b c (Å): 3.541 3.541 6.352
angles (deg): 90.00 90.00 90.00
Site moments in Bohr magnetons follow the coordinates.
Element x y z (fractional)
In (0.500, 0.500, 0.731)  -0.06
Mg (0.500, 0.500, 0.269)  -0.03
Mg (0.000, 0.000, 0.003)  0.00
Mn (0.000, 0.000, 0.497)  3.51